Entry 1:
Material: Ga2FeRuO
Method: DFT, PBE+U
State: relaxed

M_tot in μB/f.u.: 4.4
DOS at the Fermi energy in states/eV/cell: 2.631
Calculated total energy in eV/atom: -4.968
ρ in Mg/m³: 6.76

Cell: 4.3847 4.3847 3.9882 Å, 90.00 90.00 90.00°
With the nearest neighbours (Å) after each atom.
Sites, in units of the cell vectors:
Ga1 0.0000 0.5000 0.0000  2 O 2.19
Ga2 0.5000 0.0000 0.0000  2 O 2.19
Fe1 0.0000 0.0000 0.5000  8 Ga 2.96, 4 Ru 3.10
Ru1 0.5000 0.5000 0.5000  2 O 1.99
O1 0.5000 0.5000 0.0000  2 Ru 1.99, 4 Ga 2.19

***

Entry 2:
Material: GaFeSbO6
Method: DFT, PBE+U
State: relaxed

M_tot in μB/f.u.: 4.0
DOS at the Fermi energy in states/eV/cell: 7.681
Calculated total energy in eV/atom: -6.045
ρ in Mg/m³: 5.71

Cell: 5.1498 5.1498 8.6878 Å, 90.00 90.00 120.00°
With the nearest neighbours (Å) after each atom.
Sites, in units of the cell vectors:
Ga1 0.3333 0.6667 0.2500  6 O 2.00
Ga2 0.6667 0.3333 0.7500  6 O 2.00
Fe1 0.0000 0.0000 0.0000  6 O 2.07
Fe2 0.0000 0.0000 0.5000  6 O 2.07
Sb1 0.3333 0.6667 0.7500  6 O 2.01
Sb2 0.6667 0.3333 0.2500  6 O 2.01
O1 0.0010 0.3391 0.1279  1 Ga 2.00, 1 Sb 2.01, 1 Fe 2.07
O2 0.0010 0.6620 0.3721  1 Ga 2.00, 1 Sb 2.01, 1 Fe 2.07
O3 0.3380 0.3391 0.3721  1 Ga 2.00, 1 Sb 2.01, 1 Fe 2.07
O4 0.3380 0.9990 0.1279  1 Ga 2.00, 1 Sb 2.01, 1 Fe 2.07
O5 0.3391 0.0010 0.6279  1 Ga 2.00, 1 Sb 2.01, 1 Fe 2.07
O6 0.3391 0.3380 0.8721  1 Ga 2.00, 1 Sb 2.01, 1 Fe 2.07
O7 0.6609 0.6620 0.1279  1 Ga 2.00, 1 Sb 2.01, 1 Fe 2.07
O8 0.6609 0.9990 0.3721  1 Ga 2.00, 1 Sb 2.01, 1 Fe 2.07
O9 0.6620 0.0010 0.8721  1 Ga 2.00, 1 Sb 2.01, 1 Fe 2.07
O10 0.6620 0.6609 0.6279  1 Ga 2.00, 1 Sb 2.01, 1 Fe 2.07
O11 0.9990 0.3380 0.6279  1 Ga 2.00, 1 Sb 2.01, 1 Fe 2.07
O12 0.9990 0.6609 0.8721  1 Ga 2.00, 1 Sb 2.01, 1 Fe 2.07